## w
This record from the Alexandria database describes a relaxed RbHg3P crystal. The functional is PBE.

Unit cell a=5.492 b=5.492 c=5.492 alpha=90.00 beta=90.00 gamma=90.00
Element x y z (fractional)
Hg 0.000 0.500 0.000
Hg 0.500 0.000 0.000
Rb 0.500 0.500 0.500
Hg 0.000 0.000 0.500
P 0.000 0.000 0.000

As for the space group: No. 221. As for the spin magnetization: 0.000 μB per cell.



## x
This record from the Alexandria database describes a relaxed RbHg3P crystal. The functional is PBE.

Unit cell a=6.789 b=6.789 c=6.789 alpha=90.00 beta=90.00 gamma=90.00
Element x y z (fractional)
Hg 0.500 0.000 0.000
Hg 0.000 0.500 0.000
Rb 0.000 0.000 0.000
P 0.500 0.500 0.500
Hg 0.000 0.000 0.500

As for the space group: No. 221. As for the spin magnetization: 2.171 μB per cell.



Energies relative to the minimum, meV per atom: w 0; x 630



## w
This record from the Alexandria database describes a relaxed RbHg2P2 crystal. The functional is PBE.

Unit cell a=4.772 b=4.772 c=6.506 alpha=68.48 beta=68.48 gamma=90.00
Element x y z (fractional)
P 0.250 0.750 0.500
P 0.750 0.250 0.500
Rb 0.000 0.000 0.000
Hg 0.629 0.629 0.742
Hg 0.371 0.371 0.258

As for the space group: No. 139. As for the spin magnetization: 0.000 μB per cell.



## x
This record from the Alexandria database describes a relaxed RbHg2P2 crystal. The functional is PBE.

Unit cell a=4.927 b=4.927 c=6.956 alpha=69.26 beta=69.26 gamma=90.00
Element x y z (fractional)
P 0.584 0.584 0.832
P 0.416 0.416 0.168
Rb 0.000 0.000 0.000
Hg 0.750 0.250 0.500
Hg 0.250 0.750 0.500

As for the space group: No. 139. As for the spin magnetization: 0.000 μB per cell.



Energies relative to the minimum, meV per atom: w 183; x 0



## w
This record from the Alexandria database describes a relaxed Rb2HgP crystal. The functional is PBE.

Unit cell a=6.738 b=6.738 c=11.044 alpha=72.24 beta=72.24 gamma=90.00
Element x y z (fractional)
Hg 0.750 0.250 0.500
P 0.500 0.500 0.000
Rb 0.566 0.125 0.250
Rb 0.375 0.434 0.750
Rb 0.184 0.625 0.250
P 0.250 0.750 0.500
Rb 0.875 0.816 0.750
Hg 0.000 0.000 0.000

As for the space group: No. 122. As for the spin magnetization: 2.000 μB per cell.



## x
This record from the Alexandria database describes a relaxed Rb2HgP crystal. The functional is PBE.

Unit cell a=5.913 b=5.913 c=5.913 alpha=60.00 beta=60.00 gamma=60.00
Element x y z (fractional)
P 0.000 0.000 0.000
Hg 0.500 0.500 0.500
Rb 0.250 0.250 0.250
Rb 0.750 0.750 0.750

As for the space group: No. 225. As for the spin magnetization: 1.000 μB per cell.



Energies relative to the minimum, meV per atom: w 227; x 0



## w
This record from the Alexandria database describes a relaxed RbHgP3 crystal. The functional is PBE.

Unit cell a=5.189 b=5.189 c=5.189 alpha=90.00 beta=90.00 gamma=90.00
Element x y z (fractional)
P 0.000 0.000 0.500
Hg 0.000 0.000 0.000
P 0.000 0.500 0.000
P 0.500 0.000 0.000
Rb 0.500 0.500 0.500

As for the space group: No. 221. As for the spin magnetization: 0.000 μB per cell.



## x
This record from the Alexandria database describes a relaxed RbHgP3 crystal. The functional is PBE.

Unit cell a=5.604 b=5.604 c=5.604 alpha=90.00 beta=90.00 gamma=90.00
Element x y z (fractional)
P 0.000 0.000 0.500
Rb 0.000 0.000 0.000
Hg 0.500 0.500 0.500
P 0.500 0.000 0.000
P 0.000 0.500 0.000

As for the space group: No. 221. As for the spin magnetization: 0.000 μB per cell.



Energies relative to the minimum, meV per atom: w 0; x 1166



## w
This record from the Alexandria database describes a relaxed RbHgPS2 crystal. The functional is PBE.

Unit cell a=6.669 b=6.669 c=7.376 alpha=90.00 beta=90.00 gamma=90.00
Element x y z (fractional)
Rb 0.000 0.000 0.000
P 0.000 0.000 0.500
S 0.500 0.000 0.000
Hg 0.500 0.500 0.500
S 0.000 0.500 0.000

As for the space group: No. 123. As for the spin magnetization: 6.000 μB per cell.



## x
This record from the Alexandria database describes a relaxed RbHgPS2 crystal. The functional is PBE.

Unit cell a=5.272 b=5.272 c=5.083 alpha=90.00 beta=90.00 gamma=90.00
Element x y z (fractional)
S 0.000 0.500 0.000
Rb 0.500 0.500 0.500
P 0.000 0.000 0.500
S 0.500 0.000 0.000
Hg 0.000 0.000 0.000

As for the space group: No. 123. As for the spin magnetization: 1.562 μB per cell.



Energies relative to the minimum, meV per atom: w 835; x 0



## w
This record from the Alexandria database describes a relaxed RbHgP2S crystal. The functional is PBE.

Unit cell a=6.994 b=6.994 c=6.212 alpha=90.00 beta=90.00 gamma=90.00
Element x y z (fractional)
Hg 0.500 0.500 0.500
S 0.000 0.000 0.500
P 0.500 0.000 0.000
P 0.000 0.500 0.000
Rb 0.000 0.000 0.000

As for the space group: No. 123. As for the spin magnetization: 4.698 μB per cell.



## x
This record from the Alexandria database describes a relaxed RbHgP2S crystal. The functional is PBE.

Unit cell a=5.124 b=5.124 c=5.427 alpha=90.00 beta=90.00 gamma=90.00
Element x y z (fractional)
Rb 0.500 0.500 0.500
S 0.000 0.000 0.500
Hg 0.000 0.000 0.000
P 0.500 0.000 0.000
P 0.000 0.500 0.000

As for the space group: No. 123. As for the spin magnetization: 1.678 μB per cell.



Energies relative to the minimum, meV per atom: w 833; x 0



## w
This record from the Alexandria database describes a relaxed Rb2YHgP crystal. The functional is PBE.

Unit cell a=6.731 b=5.048 c=6.731 alpha=90.00 beta=90.00 gamma=90.00
Element x y z (fractional)
Y 0.500 0.500 0.500
P 0.000 0.000 0.000
Hg 0.000 0.500 0.000
Rb 0.500 0.000 0.000
Rb 0.000 0.000 0.500

As for the space group: No. 123. As for the spin magnetization: 1.282 μB per cell.



## x
This record from the Alexandria database describes a relaxed Rb2YHgP crystal. The functional is PBE.

Unit cell a=7.137 b=5.619 c=7.137 alpha=90.00 beta=90.00 gamma=90.00
Element x y z (fractional)
Rb 0.000 0.000 0.500
P 0.500 0.500 0.500
Y 0.000 0.000 0.000
Hg 0.000 0.500 0.000
Rb 0.500 0.000 0.000

As for the space group: No. 123. As for the spin magnetization: 0.617 μB per cell.



Energies relative to the minimum, meV per atom: w 0; x 516



## w
This record from the Alexandria database describes a relaxed Re2HgP crystal. The functional is PBE.

Unit cell a=5.538 b=5.538 c=4.350 alpha=90.00 beta=90.00 gamma=149.27
Element x y z (fractional)
P 0.283 0.717 0.500
Re 0.197 0.803 0.000
Re 0.608 0.392 0.500
Hg 0.939 0.061 0.000

As for the space group: No. 38. As for the spin magnetization: 0.000 μB per cell.



## x
This record from the Alexandria database describes a relaxed Re2HgP crystal. The functional is PBE.

Unit cell a=4.047 b=4.047 c=6.105 alpha=78.89 beta=78.89 gamma=43.01
Element x y z (fractional)
Re 0.239 0.239 0.819
Re 0.761 0.761 0.181
Hg 0.000 0.000 0.500
P 0.500 0.500 0.000

As for the space group: No. 12. As for the spin magnetization: 0.000 μB per cell.



## y
This record from the Alexandria database describes a relaxed Re2HgP crystal. The functional is PBE.

Unit cell a=2.914 b=2.914 c=8.135 alpha=90.00 beta=90.00 gamma=90.00
Element x y z (fractional)
Re 0.000 0.000 0.998
Hg 0.000 0.000 0.476
Re 0.500 0.500 0.208
P 0.500 0.500 0.818

As for the space group: No. 99. As for the spin magnetization: 0.000 μB per cell.



Energies relative to the minimum, meV per atom: w 159; x 200; y 0



## w
This record from the Alexandria database describes a relaxed Re2HgP crystal. The functional is PBE.

Unit cell a=9.318 b=9.318 c=9.318 alpha=17.95 beta=17.95 gamma=17.95
Element x y z (fractional)
P 0.265 0.265 0.265
Hg 0.498 0.498 0.498
Re 0.740 0.740 0.740
Re 0.997 0.997 0.997

As for the space group: No. 160. As for the spin magnetization: 0.000 μB per cell.



## x
This record from the Alexandria database describes a relaxed Re2HgP crystal. The functional is PBE.

Unit cell a=5.362 b=5.362 c=5.362 alpha=148.06 beta=128.45 gamma=61.94
Element x y z (fractional)
Hg 0.000 0.500 0.500
P 0.500 0.000 0.500
Re 0.294 0.294 0.000
Re 0.706 0.706 0.000

As for the space group: No. 71. As for the spin magnetization: 0.000 μB per cell.



## y
This record from the Alexandria database describes a relaxed Re2HgP crystal. The functional is PBE.

Unit cell a=7.381 b=7.381 c=7.381 alpha=154.38 beta=156.89 gamma=34.77
Element x y z (fractional)
Re 0.235 0.735 0.500
Re 0.912 0.912 0.000
P 0.797 0.297 0.500
Hg 0.556 0.556 0.000

As for the space group: No. 44. As for the spin magnetization: 0.002 μB per cell.



## z
This record from the Alexandria database describes a relaxed Re2HgP crystal. The functional is PBE.

Unit cell a=3.744 b=2.988 c=5.863 alpha=77.52 beta=90.00 gamma=90.00
Element x y z (fractional)
Re 0.000 0.148 0.702
Re 0.000 0.852 0.298
Hg 0.500 0.500 0.000
P 0.500 0.500 0.500

As for the space group: No. 10. As for the spin magnetization: 0.000 μB per cell.



Energies relative to the minimum, meV per atom: w 0; x 265; y 125; z 251



## w
This record from the Alexandria database describes a relaxed Re2HgP crystal. The functional is PBE.

Unit cell a=2.973 b=2.973 c=7.053 alpha=90.00 beta=90.00 gamma=90.00
Element x y z (fractional)
Hg 0.500 0.500 0.000
Re 0.000 0.000 0.687
P 0.500 0.500 0.500
Re 0.000 0.000 0.313

As for the space group: No. 123. As for the spin magnetization: 0.000 μB per cell.



## x
This record from the Alexandria database describes a relaxed Re2HgP crystal. The functional is PBE.

Unit cell a=4.419 b=4.419 c=3.144 alpha=90.00 beta=90.00 gamma=90.00
Element x y z (fractional)
Re 0.500 0.000 0.000
P 0.000 0.000 0.500
Re 0.000 0.500 0.000
Hg 0.500 0.500 0.500

As for the space group: No. 123. As for the spin magnetization: 0.000 μB per cell.



## y
This record from the Alexandria database describes a relaxed Re2HgP crystal. The functional is PBE.

Unit cell a=4.514 b=4.514 c=4.514 alpha=60.00 beta=60.00 gamma=60.00
Element x y z (fractional)
Re 0.000 0.000 0.000
P 0.750 0.750 0.750
Re 0.250 0.250 0.250
Hg 0.500 0.500 0.500

As for the space group: No. 216. As for the spin magnetization: 0.000 μB per cell.



## z
This record from the Alexandria database describes a relaxed Re2HgP crystal. The functional is PBE.

Unit cell a=8.900 b=8.900 c=8.900 alpha=18.64 beta=18.64 gamma=18.64
Element x y z (fractional)
Hg 0.500 0.500 0.500
Re 0.736 0.736 0.736
Re 0.264 0.264 0.264
P 0.000 0.000 0.000

As for the space group: No. 166. As for the spin magnetization: 0.372 μB per cell.



Energies relative to the minimum, meV per atom: w 0; x 544; y 600; z 38



## w
This record from the Alexandria database describes a relaxed ReHgP3 crystal. The functional is PBE.

Unit cell a=4.866 b=4.866 c=4.866 alpha=90.00 beta=90.00 gamma=90.00
Element x y z (fractional)
Hg 0.000 0.000 0.000
P 0.000 0.500 0.000
P 0.500 0.000 0.000
P 0.000 0.000 0.500
Re 0.500 0.500 0.500

As for the space group: No. 221. As for the spin magnetization: 2.507 μB per cell.



## x
This record from the Alexandria database describes a relaxed ReHgP3 crystal. The functional is PBE.

Unit cell a=4.690 b=4.690 c=4.690 alpha=90.00 beta=90.00 gamma=90.00
Element x y z (fractional)
Hg 0.500 0.500 0.500
Re 0.000 0.000 0.000
P 0.000 0.500 0.000
P 0.500 0.000 0.000
P 0.000 0.000 0.500

As for the space group: No. 221. As for the spin magnetization: 0.000 μB per cell.



Energies relative to the minimum, meV per atom: w 1644; x 0



## w
This record from the Alexandria database describes a relaxed Re3HgP crystal. The functional is PBE.

Unit cell a=4.422 b=4.422 c=4.422 alpha=90.00 beta=90.00 gamma=90.00
Element x y z (fractional)
Re 0.000 0.500 0.000
Re 0.500 0.000 0.000
Re 0.000 0.000 0.500
P 0.000 0.000 0.000
Hg 0.500 0.500 0.500

As for the space group: No. 221. As for the spin magnetization: 0.000 μB per cell.



## x
This record from the Alexandria database describes a relaxed Re3HgP crystal. The functional is PBE.

Unit cell a=4.915 b=4.915 c=4.915 alpha=90.00 beta=90.00 gamma=90.00
Element x y z (fractional)
Hg 0.000 0.000 0.000
Re 0.000 0.000 0.500
Re 0.000 0.500 0.000
P 0.500 0.500 0.500
Re 0.500 0.000 0.000

As for the space group: No. 221. As for the spin magnetization: 4.403 μB per cell.



Energies relative to the minimum, meV per atom: w 0; x 2548